The following is a PBE calculation of an optimized crystal structure of NdHoSc2, from Alexandria via LeMat-Bulk.

CIF file:
```
data_NdHoSc2
_chemical_formula_sum 'Nd1 Ho1 Sc2'
_cell_length_a 3.8994
_cell_length_b 3.8994
_cell_length_c 7.5321
_cell_angle_alpha 90.00
_cell_angle_beta 90.00
_cell_angle_gamma 90.00
_symmetry_space_group_name_H-M 'P 4/m m m'
_symmetry_Int_Tables_number 123
_symmetry_space_group_name_Hall '-P 4 2'
loop_
_atom_site_label
_atom_site_fract_x
_atom_site_fract_y
_atom_site_fract_z
_atom_site_occupancy
Nd1 0.0000 0.0000 0.0000 1
Ho1 0.0000 0.0000 0.5000 1
Sc1 0.5000 0.5000 0.2581 1
```

Results
* energy relative to the elements: 0.079 eV per atom
* offset from the most stable computed form: 23 meV/atom
* size of the total moment: 0.00 Bohr magnetons per cell